# FeSi2Rh (PBE, optimized geometry)
# Final energy (eV/atom): -6.6617
# M_tot (μB per atom): 0.585
# Uncorrected formation energy (meV per atom): 3.3
data_FeSi2Rh
_cell_length_a 5.950
_cell_length_b 5.950
_cell_length_c 5.950
_cell_angle_alpha 90.00
_cell_angle_beta 90.00
_cell_angle_gamma 90.00
_space_group_name_H-M_alt 'F -4 3 m'
_space_group_IT_number 216
_space_group_name_Hall 'F -4 2 3'
loop_
_atom_site_label
_atom_site_type_symbol
_atom_site_fract_x
_atom_site_fract_y
_atom_site_fract_z
_atom_site_occupancy
Fe1 Fe 0.000 0.000 0.000 1
Si1 Si 0.000 0.000 0.500 1
Si2 Si 0.250 0.250 0.750 1
Rh1 Rh 0.250 0.250 0.250 1


# FeSi2Rh (PBE, optimized geometry)
# Final energy (eV/atom): -7.1528
# M_tot (μB per atom): 0.000
# Uncorrected formation energy (meV per atom): -487.7
data_FeSi2Rh
_cell_length_a 2.772
_cell_length_b 2.772
_cell_length_c 6.190
_cell_angle_alpha 90.00
_cell_angle_beta 90.00
_cell_angle_gamma 90.00
_space_group_name_H-M_alt 'P 4/m m m'
_space_group_IT_number 123
_space_group_name_Hall '-P 4 2'
loop_
_atom_site_label
_atom_site_type_symbol
_atom_site_fract_x
_atom_site_fract_y
_atom_site_fract_z
_atom_site_occupancy
Fe1 Fe 0.000 0.000 0.000 1
Si1 Si 0.500 0.500 0.229 1
Rh1 Rh 0.000 0.000 0.500 1


# FeSi2Rh (PBE, optimized geometry)
# Final energy (eV/atom): -7.1972
# M_tot (μB per atom): 0.000
# Uncorrected formation energy (meV per atom): -532.2
data_FeSi2Rh
_cell_length_a 8.559
_cell_length_b 2.821
_cell_length_c 4.153
_cell_angle_alpha 90.00
_cell_angle_beta 104.51
_cell_angle_gamma 90.00
_space_group_name_H-M_alt 'C 1 m 1'
_space_group_IT_number 8
loop_
_space_group_symop_operation_xyz
'x,y,z'
'x,-y,z'
'x+1/2,y+1/2,z'
'x+1/2,-y+1/2,z'
loop_
_atom_site_label
_atom_site_type_symbol
_atom_site_fract_x
_atom_site_fract_y
_atom_site_fract_z
_atom_site_occupancy
Fe1 Fe 0.000 0.000 0.000 1
Si1 Si 0.234 0.500 0.100 1
Si2 Si 0.485 0.000 0.465 1
Rh1 Rh 0.229 0.000 0.602 1


# Fe2SiRh (PBE, optimized geometry)
# Final energy (eV/atom): -7.7653
# M_tot (μB per atom): 1.171
# Uncorrected formation energy (meV per atom): -340.3
data_Fe2SiRh
_cell_length_a 2.815
_cell_length_b 4.086
_cell_length_c 8.481
_cell_angle_alpha 90.00
_cell_angle_beta 90.00
_cell_angle_gamma 90.00
_space_group_name_H-M_alt 'I m m m'
_space_group_IT_number 71
_space_group_name_Hall '-I 2 2'
loop_
_atom_site_label
_atom_site_type_symbol
_atom_site_fract_x
_atom_site_fract_y
_atom_site_fract_z
_atom_site_occupancy
Fe1 Fe 0.000 0.000 0.236 1
Si1 Si 0.000 0.500 0.500 1
Rh1 Rh 0.000 0.500 0.000 1